No. 1
{"formula": "Ba6Sn2AuN", "functional": "GGA-PBE", "state": "optimized geometry", "cell": [[8.291, 0.000, 0.000], [0.000, 8.310, 0.000], [0.000, 0.000, 11.730]], "species": ["Ba", "Ba", "Ba", "Ba", "Ba", "Ba", "Ba", "Ba", "Ba", "Ba", "Ba", "Ba", "Sn", "Sn", "Sn", "Sn", "Au", "Au", "N", "N"], "frac_coords": [[0.500, 0.241, 0.269], [0.500, 0.241, 0.731], [0.000, 0.759, 0.231], [0.000, 0.759, 0.769], [0.271, 0.008, 0.500], [0.729, 0.008, 0.500], [0.265, 0.469, 0.500], [0.735, 0.469, 0.500], [0.765, 0.531, 0.000], [0.235, 0.531, 0.000], [0.229, 0.992, 0.000], [0.771, 0.992, 0.000], [0.500, 0.754, 0.249], [0.000, 0.246, 0.749], [0.500, 0.754, 0.751], [0.000, 0.246, 0.251], [0.000, 0.741, 0.500], [0.500, 0.259, 0.000], [0.500, 0.242, 0.500], [0.000, 0.758, 0.000]], "sg": "No. 59", "raw_formation_energy_mev_per_atom": -504, "vol_a3_per_atom": 40.409, "total_magnetization_mub_per_cell": 0.00, "dos_ef_per_ev_cell": 2.30}

No. 2
{"formula": "BaSnAuN2", "functional": "GGA-PBE", "state": "optimized geometry", "cell": [[4.526, 0.000, 0.000], [0.000, 8.397, 0.000], [0.000, 0.000, 4.526]], "species": ["N", "N", "Au", "Ba", "Sn"], "frac_coords": [[0.000, 0.000, 0.500], [0.500, 0.000, 0.000], [0.500, 0.500, 0.500], [0.000, 0.000, 0.000], [0.000, 0.500, 0.000]], "sg": "No. 123", "raw_formation_energy_mev_per_atom": 1689, "vol_a3_per_atom": 34.404, "total_magnetization_mub_per_cell": 1.84, "dos_ef_per_ev_cell": 4.41}

No. 3
{"formula": "BaTeAuN2", "functional": "GGA-PBE", "state": "optimized geometry", "cell": [[-1.436, 0.265, 4.113], [1.551, -4.001, 0.799], [6.516, 2.943, 2.085]], "species": ["Te", "Au", "Ba", "N", "N"], "frac_coords": [[0.000, 0.000, 0.500], [0.500, 0.500, 0.500], [0.000, 0.000, 0.000], [0.000, 0.500, 0.000], [0.500, 0.000, 0.000]], "sg": "No. 123", "raw_formation_energy_mev_per_atom": 1691, "vol_a3_per_atom": 28.376, "total_magnetization_mub_per_cell": 0.18, "dos_ef_per_ev_cell": 7.32}

No. 4
{"formula": "BaTeAuN2", "functional": "GGA-PBE", "state": "optimized geometry", "cell": [[-3.262, -1.311, 3.008], [-0.557, -3.958, -2.330], [3.914, -2.427, 3.187]], "species": ["Te", "Au", "Ba", "N", "N"], "frac_coords": [[0.000, 0.000, 0.500], [0.000, 0.000, 0.000], [0.500, 0.500, 0.500], [0.000, 0.500, 0.000], [0.500, 0.000, 0.000]], "sg": "No. 123", "raw_formation_energy_mev_per_atom": 966, "vol_a3_per_atom": 23.974, "total_magnetization_mub_per_cell": 3.19, "dos_ef_per_ev_cell": 3.78}

No. 5
{"formula": "BaTiAuN2", "functional": "GGA-PBE", "state": "optimized geometry", "cell": [[-3.098, 0.476, 2.691], [-1.627, -6.317, -0.757], [2.534, -1.024, 3.098]], "species": ["N", "N", "Au", "Ba", "Ti"], "frac_coords": [[0.000, 0.000, 0.500], [0.500, 0.000, 0.000], [0.500, 0.500, 0.500], [0.000, 0.500, 0.000], [0.000, 0.000, 0.000]], "sg": "No. 123", "raw_formation_energy_mev_per_atom": 478, "vol_a3_per_atom": 22.416, "total_magnetization_mub_per_cell": 0.79, "dos_ef_per_ev_cell": 2.30}

No. 6
{"formula": "Ba6Tl2AuN", "functional": "GGA-PBE", "state": "optimized geometry", "cell": [[8.188, 0.000, 0.034], [0.000, 8.536, 0.000], [0.120, 0.000, 11.743]], "species": ["Ba", "Ba", "Ba", "Ba", "Ba", "Ba", "Ba", "Ba", "Ba", "Ba", "Ba", "Ba", "Tl", "Tl", "Tl", "Tl", "Au", "Au", "N", "N"], "frac_coords": [[0.278, 0.682, 0.049], [0.778, 0.818, 0.549], [0.722, 0.318, 0.951], [0.222, 0.182, 0.451], [0.324, 0.724, 0.457], [0.824, 0.776, 0.957], [0.676, 0.276, 0.543], [0.176, 0.224, 0.043], [0.908, 0.515, 0.228], [0.408, 0.985, 0.728], [0.092, 0.485, 0.772], [0.592, 0.015, 0.272], [0.025, 0.931, 0.248], [0.525, 0.569, 0.748], [0.975, 0.069, 0.752], [0.475, 0.431, 0.252], [0.500, 0.000, 0.000], [0.000, 0.500, 0.500], [0.500, 0.000, 0.500], [0.000, 0.500, 0.000]], "sg": "No. 14", "raw_formation_energy_mev_per_atom": -414, "vol_a3_per_atom": 41.032, "total_magnetization_mub_per_cell": 0.01, "dos_ef_per_ev_cell": 23.85}

No. 7
{"formula": "BaW2AuN", "functional": "GGA-PBE", "state": "optimized geometry", "cell": [[5.156, 0.000, 0.000], [0.000, 4.220, 0.000], [0.000, 0.000, 5.156]], "species": ["Au", "Ba", "W", "W", "N"], "frac_coords": [[0.500, 0.500, 0.500], [0.000, 0.000, 0.000], [0.000, 0.000, 0.500], [0.500, 0.000, 0.000], [0.000, 0.500, 0.000]], "sg": "No. 123", "raw_formation_energy_mev_per_atom": 3511, "vol_a3_per_atom": 22.436, "total_magnetization_mub_per_cell": 0.00, "dos_ef_per_ev_cell": 8.91}

No. 8
{"formula": "BaNaAu2", "functional": "GGA-PBE", "state": "optimized geometry", "cell": [[5.336, 0.000, 0.000], [0.000, 5.336, 0.000], [2.668, 2.668, 9.451]], "species": ["Na", "Na", "Au", "Au", "Au", "Au", "Ba", "Ba"], "frac_coords": [[0.500, 0.500, 0.000], [0.250, 0.750, 0.500], [0.458, 0.125, 0.250], [0.292, 0.625, 0.250], [0.375, 0.542, 0.750], [0.875, 0.708, 0.750], [0.000, 0.000, 0.000], [0.750, 0.250, 0.500]], "sg": "No. 122", "vol_a3_per_atom": 33.634, "formation_enthalpy_0k_mev_per_atom": -293, "total_magnetization_mub_per_cell": 0.00, "dos_ef_per_ev_cell": 3.05}

No. 9
{"formula": "Ba2Na2Au", "functional": "GGA-PBE", "state": "optimized geometry", "cell": [[-4.358, 4.280, -5.334], [-6.837, -2.862, 3.289], [-0.105, 4.478, 3.679]], "species": ["Na", "Na", "Na", "Na", "Au", "Au", "Ba", "Ba", "Ba", "Ba"], "frac_coords": [[0.359, 0.859, 0.000], [0.859, 0.641, 0.000], [0.641, 0.141, 0.000], [0.141, 0.359, 0.000], [0.000, 0.000, 0.000], [0.500, 0.500, 0.000], [0.185, 0.685, 0.500], [0.685, 0.815, 0.500], [0.815, 0.315, 0.500], [0.315, 0.185, 0.500]], "sg": "No. 127", "vol_a3_per_atom": 38.118, "formation_enthalpy_0k_mev_per_atom": -73, "total_magnetization_mub_per_cell": 0.00, "dos_ef_per_ev_cell": 7.55}

No. 10
{"formula": "BaNa3Au", "functional": "GGA-PBE", "state": "optimized geometry", "cell": [[-2.756, -1.185, -6.510], [4.621, -5.393, -0.974], [-4.736, -4.571, 2.837]], "species": ["Na", "Na", "Na", "Au", "Ba"], "frac_coords": [[0.000, 0.500, 0.000], [0.000, 0.000, 0.500], [0.500, 0.000, 0.000], [0.500, 0.500, 0.500], [0.000, 0.000, 0.000]], "sg": "No. 221", "vol_a3_per_atom": 73.654, "formation_enthalpy_0k_mev_per_atom": 855, "total_magnetization_mub_per_cell": 1.99, "dos_ef_per_ev_cell": 1.36}

No. 11
{"formula": "Ba3Na2Au2", "functional": "GGA-PBE", "state": "optimized geometry", "cell": [[-3.892, -1.396, -2.289], [-4.767, -3.726, 5.492], [-6.053, 6.161, 1.657]], "species": ["Ba", "Ba", "Ba", "Na", "Na", "Au", "Au"], "frac_coords": [[0.500, 0.000, 0.000], [0.663, 0.442, 0.233], [0.337, 0.558, 0.767], [0.864, 0.858, 0.415], [0.136, 0.142, 0.585], [0.910, 0.289, 0.891], [0.090, 0.711, 0.109]], "sg": "No. 12", "vol_a3_per_atom": 44.282, "formation_enthalpy_0k_mev_per_atom": -395, "total_magnetization_mub_per_cell": 0.00, "dos_ef_per_ev_cell": 4.97}

No. 12
{"formula": "Ba2NaAu3", "functional": "GGA-PBE", "state": "optimized geometry", "cell": [[4.472, 0.000, 0.000], [0.000, 8.256, 0.000], [0.000, 0.000, 20.760]], "species": ["Ba", "Ba", "Ba", "Ba", "Ba", "Ba", "Ba", "Ba", "Na", "Na", "Na", "Na", "Au", "Au", "Au", "Au", "Au", "Au", "Au", "Au", "Au", "Au", "Au", "Au"], "frac_coords": [[0.250, 0.639, 0.581], [0.750, 0.861, 0.081], [0.250, 0.139, 0.919], [0.750, 0.361, 0.419], [0.250, 0.666, 0.797], [0.750, 0.834, 0.297], [0.250, 0.166, 0.703], [0.750, 0.334, 0.203], [0.250, 0.969, 0.440], [0.750, 0.531, 0.940], [0.250, 0.469, 0.060], [0.750, 0.031, 0.560], [0.250, 0.757, 0.965], [0.750, 0.743, 0.465], [0.250, 0.257, 0.535], [0.750, 0.243, 0.035], [0.250, 0.013, 0.191], [0.750, 0.487, 0.691], [0.250, 0.513, 0.309], [0.750, 0.987, 0.809], [0.250, 0.661, 0.183], [0.750, 0.839, 0.683], [0.250, 0.161, 0.317], [0.750, 0.339, 0.817]], "sg": "No. 62", "vol_a3_per_atom": 31.937, "formation_enthalpy_0k_mev_per_atom": -596, "total_magnetization_mub_per_cell": 0.00, "dos_ef_per_ev_cell": 13.68}

No. 13
{"formula": "Ba3NaAu2", "functional": "GGA-PBE", "state": "optimized geometry", "cell": [[-3.755, -2.002, 0.931], [-0.808, -2.349, -8.313], [4.148, -5.181, 5.588]], "species": ["Ba", "Ba", "Ba", "Na", "Au", "Au"], "frac_coords": [[0.500, 0.000, 0.500], [0.500, 0.500, 0.500], [0.500, 0.500, 0.000], [0.000, 0.000, 0.000], [0.000, 0.667, 0.333], [0.000, 0.333, 0.667]], "sg": "No. 191", "vol_a3_per_atom": 47.326, "formation_enthalpy_0k_mev_per_atom": -423, "total_magnetization_mub_per_cell": 0.00, "dos_ef_per_ev_cell": 6.13}

No. 14
{"formula": "Ba2NaAu2", "functional": "GGA-PBE", "state": "optimized geometry", "cell": [[8.781, 0.000, 0.000], [0.000, 8.781, 0.000], [0.000, 0.000, 4.488]], "species": ["Na", "Na", "Au", "Au", "Au", "Au", "Ba", "Ba", "Ba", "Ba"], "frac_coords": [[0.000, 0.000, 0.000], [0.500, 0.500, 0.000], [0.374, 0.874, 0.000], [0.874, 0.626, 0.000], [0.626, 0.126, 0.000], [0.126, 0.374, 0.000], [0.168, 0.668, 0.500], [0.668, 0.832, 0.500], [0.832, 0.332, 0.500], [0.332, 0.168, 0.500]], "sg": "No. 127", "vol_a3_per_atom": 34.603, "formation_enthalpy_0k_mev_per_atom": -596, "total_magnetization_mub_per_cell": 0.00, "dos_ef_per_ev_cell": 6.43}

No. 15
{"formula": "Ba6Na2Au3", "functional": "GGA-PBE", "state": "optimized geometry", "cell": [[-2.388, 2.905, -7.440], [-8.118, 1.130, -1.624], [-0.230, 9.808, 0.750]], "species": ["Ba", "Ba", "Ba", "Ba", "Ba", "Ba", "Na", "Na", "Au", "Au", "Au"], "frac_coords": [[0.396, 0.666, 0.812], [0.730, 0.000, 0.813], [0.063, 0.334, 0.812], [0.270, 0.000, 0.187], [0.604, 0.334, 0.188], [0.937, 0.666, 0.188], [0.167, 0.667, 0.500], [0.833, 0.333, 0.500], [0.000, 0.000, 0.000], [0.333, 0.334, 0.000], [0.667, 0.666, 0.000]], "sg": "No. 12", "vol_a3_per_atom": 51.741, "formation_enthalpy_0k_mev_per_atom": -369, "total_magnetization_mub_per_cell": 0.00, "dos_ef_per_ev_cell": 7.49}

No. 16
{"formula": "BaNa3Au", "functional": "GGA-PBE", "state": "optimized geometry", "cell": [[-6.321, -0.287, 3.071], [2.302, -3.731, 4.392], [2.051, 6.944, 4.824]], "species": ["Ba", "Ba", "Na", "Na", "Na", "Na", "Na", "Na", "Au", "Au"], "frac_coords": [[0.393, 0.293, 0.701], [0.893, 0.059, 0.201], [0.371, 0.331, 0.202], [0.442, 0.804, 0.993], [0.942, 0.549, 0.493], [0.871, 0.022, 0.701], [0.942, 0.550, 0.908], [0.443, 0.803, 0.409], [0.229, 0.784, 0.700], [0.729, 0.569, 0.200]], "sg": "No. 1", "vol_a3_per_atom": 37.973, "formation_enthalpy_0k_mev_per_atom": -186, "total_magnetization_mub_per_cell": 0.00, "dos_ef_per_ev_cell": 5.84}

No. 17
{"formula": "BaNa3Au3", "functional": "GGA-PBE", "state": "optimized geometry", "cell": [[-4.022, 2.455, -0.888], [-5.367, -7.652, 3.152], [2.854, 6.977, 6.365]], "species": ["Ba", "Ba", "Na", "Na", "Na", "Na", "Na", "Na", "Au", "Au", "Au", "Au", "Au", "Au"], "frac_coords": [[0.750, 0.333, 0.667], [0.250, 0.667, 0.333], [0.750, 0.769, 0.047], [0.750, 0.279, 0.232], [0.750, 0.953, 0.721], [0.250, 0.231, 0.953], [0.250, 0.721, 0.768], [0.250, 0.047, 0.279], [0.750, 0.948, 0.402], [0.750, 0.454, 0.052], [0.750, 0.598, 0.545], [0.250, 0.052, 0.598], [0.250, 0.546, 0.948], [0.250, 0.402, 0.455]], "sg": "No. 176", "vol_a3_per_atom": 28.869, "formation_enthalpy_0k_mev_per_atom": -426, "total_magnetization_mub_per_cell": 0.00, "dos_ef_per_ev_cell": 6.17}

No. 18
{"formula": "Ba7NaAu3", "functional": "GGA-PBE", "state": "optimized geometry", "cell": [[-4.141, -1.967, 6.697], [-6.197, -0.252, -5.594], [3.480, -7.175, -1.511]], "species": ["Ba", "Ba", "Ba", "Ba", "Ba", "Ba", "Ba", "Na", "Au", "Au", "Au"], "frac_coords": [[0.858, 0.794, 0.858], [0.982, 0.732, 0.373], [0.627, 0.268, 0.018], [0.373, 0.732, 0.982], [0.500, 0.000, 0.500], [0.018, 0.268, 0.627], [0.142, 0.206, 0.142], [0.500, 0.500, 0.500], [0.224, 0.000, 0.776], [0.000, 0.500, 0.000], [0.776, 0.000, 0.224]], "sg": "No. 12", "vol_a3_per_atom": 47.725, "formation_enthalpy_0k_mev_per_atom": -395, "total_magnetization_mub_per_cell": 0.00, "dos_ef_per_ev_cell": 9.67}

No. 19
{"formula": "BaNaAu2", "functional": "GGA-PBE", "state": "optimized geometry", "cell": [[4.767, 0.000, 0.000], [0.000, 8.618, 0.000], [0.000, 0.000, 11.407]], "species": ["Ba", "Ba", "Ba", "Ba", "Na", "Na", "Na", "Na", "Au", "Au", "Au", "Au", "Au", "Au", "Au", "Au"], "frac_coords": [[0.750, 0.849, 0.145], [0.250, 0.151, 0.855], [0.750, 0.349, 0.355], [0.250, 0.651, 0.645], [0.250, 0.475, 0.099], [0.250, 0.975, 0.401], [0.750, 0.525, 0.901], [0.750, 0.025, 0.599], [0.750, 0.860, 0.827], [0.250, 0.140, 0.173], [0.750, 0.360, 0.673], [0.250, 0.640, 0.327], [0.750, 0.747, 0.439], [0.250, 0.753, 0.939], [0.750, 0.247, 0.061], [0.250, 0.253, 0.561]], "sg": "No. 62", "vol_a3_per_atom": 29.288, "formation_enthalpy_0k_mev_per_atom": -567, "total_magnetization_mub_per_cell": 0.00, "dos_ef_per_ev_cell": 7.10}

No. 20
{"formula": "Ba6Na5Au", "functional": "GGA-PBE", "state": "optimized geometry", "cell": [[1.050, -2.580, -5.595], [10.195, 1.327, 1.302], [-5.080, -7.170, 5.844]], "species": ["Na", "Na", "Na", "Na", "Na", "Au", "Ba", "Ba", "Ba", "Ba", "Ba", "Ba"], "frac_coords": [[0.293, 0.793, 0.586], [0.644, 0.644, 0.288], [0.000, 0.500, 0.000], [0.356, 0.356, 0.712], [0.707, 0.207, 0.414], [0.000, 0.000, 0.000], [0.152, 0.360, 0.303], [0.151, 0.943, 0.303], [0.501, 0.187, 0.000], [0.499, 0.813, 0.000], [0.849, 0.057, 0.697], [0.848, 0.640, 0.697]], "sg": "No. 71", "vol_a3_per_atom": 46.668, "formation_enthalpy_0k_mev_per_atom": -101, "total_magnetization_mub_per_cell": 0.00, "dos_ef_per_ev_cell": 12.50}